# MnSbP2 PBE optimized geometry
# uncorrected energy = -5.9076 eV per atom
# ΔE_f (raw) = 46 kJ/mol of formula units
data_MnSbP2
_space_group_name_H-M_alt 'C 1 2/m 1'
_space_group_IT_number 12
_space_group_name_Hall '-C 2y'
_cell_length_a 7.094
_cell_length_b 3.030
_cell_length_c 6.364
_cell_angle_alpha 90.00
_cell_angle_beta 93.17
_cell_angle_gamma 90.00
loop_
_atom_site_label
_atom_site_fract_x
_atom_site_fract_y
_atom_site_fract_z
_atom_site_occupancy
Mn1 0.000 0.000 0.000 1
Sb1 0.000 0.500 0.500 1
P1 0.211 0.500 0.152 1